1.
The following is a GGA-PBE calculation of a relaxed structure of CrHg2Rh, from the Alexandria database.

Uncorrected energy (eV/atom): -4.10
Space-group type: Cm (8)
Formation energy (meV/atom): 292

extended XYZ file:
```
4
Lattice="5.1609 -1.5360 0.0000 5.1609 1.5360 0.0000 -1.6485 0.0000 4.5654" Properties=species:S:1:pos:R:3 pbc="T T T"
Cr 0.0000 0.0000 0.0000
Hg 1.1490 0.0000 3.7304
Hg 3.9644 0.0000 2.1467
Rh 6.7529 0.0000 1.3186
```

2.
The following is a GGA-PBE calculation of a relaxed structure of TlCr2HgRh, from the Alexandria database.

Uncorrected energy (eV/atom): -4.24
Space-group type: P4/mmm (123)
Formation energy (meV/atom): 1610

extended XYZ file:
```
5
Lattice="5.0673 0.0000 0.0000 0.0000 5.0673 0.0000 0.0000 0.0000 5.3921" Properties=species:S:1:pos:R:3 pbc="T T T"
Tl 0.0000 0.0000 0.0000
Cr 0.0000 2.5337 2.6960
Cr 2.5337 0.0000 2.6960
Hg 0.0000 0.0000 2.6960
Rh 2.5337 2.5337 0.0000
```

3.
The following is a GGA-PBE calculation of a relaxed structure of Cr2HgRu2, from the Alexandria database.

Uncorrected energy (eV/atom): -7.29
Space-group type: P4/mbm (127)
Formation energy (meV/atom): 327

extended XYZ file:
```
10
Lattice="7.3001 0.0000 0.0000 0.0000 7.3001 0.0000 0.0000 0.0000 2.7588" Properties=species:S:1:pos:R:3 pbc="T T T"
Cr 0.8394 2.8107 0.0000
Cr 2.8107 6.4607 0.0000
Cr 4.4894 0.8394 0.0000
Cr 6.4607 4.4894 0.0000
Hg 0.0000 0.0000 0.0000
Hg 3.6500 3.6500 0.0000
Ru 1.2224 4.8724 1.3794
Ru 2.4276 1.2224 1.3794
Ru 4.8724 6.0777 1.3794
Ru 6.0777 2.4276 1.3794
```

4.
The following is a GGA-PBE calculation of a relaxed structure of Cr3HgRu, from the Alexandria database.

Uncorrected energy (eV/atom): -5.61
Space-group type: Pm-3m (221)
Formation energy (meV/atom): 2078

extended XYZ file:
```
5
Lattice="4.9744 0.0000 0.0000 0.0000 4.9744 0.0000 0.0000 0.0000 4.9744" Properties=species:S:1:pos:R:3 pbc="T T T"
Cr 0.0000 0.0000 2.4872
Cr 0.0000 2.4872 0.0000
Cr 2.4872 0.0000 0.0000
Hg 0.0000 0.0000 0.0000
Ru 2.4872 2.4872 2.4872
```

5.
The following is a GGA-PBE calculation of a relaxed structure of Cr4HgRu, from the Alexandria database.

Uncorrected energy (eV/atom): -7.68
Space-group type: F-43m (216)
Formation energy (meV/atom): 328

extended XYZ file:
```
6
Lattice="0.0000 3.4219 3.4219 3.4219 0.0000 3.4219 3.4219 3.4219 0.0000" Properties=species:S:1:pos:R:3 pbc="T T T"
Cr 0.8369 0.8369 0.8369
Cr 2.5850 2.5850 0.8369
Cr 2.5850 0.8369 2.5850
Cr 0.8369 2.5850 2.5850
Hg 5.1329 5.1329 5.1329
Ru 3.4219 3.4219 3.4219
```

6.
The following is a GGA-PBE calculation of a relaxed structure of Cr2HgRu2, from the Alexandria database.

Uncorrected energy (eV/atom): -7.19
Space-group type: I4/mmm (139)
Formation energy (meV/atom): 432

extended XYZ file:
```
5
Lattice="-1.9969 1.9969 4.9027 1.9969 -1.9969 4.9027 1.9969 1.9969 -4.9027" Properties=species:S:1:pos:R:3 pbc="T T T"
Cr 0.0000 0.0000 1.0996
Cr 0.0000 0.0000 8.7057
Hg 0.0000 0.0000 4.9027
Ru 1.9969 0.0000 2.4513
Ru 0.0000 1.9969 2.4513
```

7.
The following is a GGA-PBE calculation of a relaxed structure of Cr2HgRu2, from the Alexandria database.

Uncorrected energy (eV/atom): -7.30
Space-group type: P4/mbm (127)
Formation energy (meV/atom): 318

extended XYZ file:
```
10
Lattice="7.3443 0.0000 0.0000 0.0000 7.3443 0.0000 0.0000 0.0000 2.7364" Properties=species:S:1:pos:R:3 pbc="T T T"
Cr 1.1644 2.5078 0.0000
Cr 2.5078 6.1799 0.0000
Cr 4.8365 1.1644 0.0000
Cr 6.1799 4.8365 0.0000
Hg 0.0000 0.0000 1.3682
Hg 3.6721 3.6721 1.3682
Ru 0.9592 4.6313 1.3682
Ru 2.7130 0.9592 1.3682
Ru 4.6313 6.3851 1.3682
Ru 6.3851 2.7130 1.3682
```

8.
The following is a GGA-PBE calculation of a relaxed structure of CrHgRu4, from the Alexandria database.

Uncorrected energy (eV/atom): -7.23
Space-group type: F-43m (216)
Formation energy (meV/atom): 607

extended XYZ file:
```
6
Lattice="0.0000 3.6420 3.6420 3.6420 0.0000 3.6420 3.6420 3.6420 0.0000" Properties=species:S:1:pos:R:3 pbc="T T T"
Cr 0.0000 0.0000 0.0000
Hg 1.8210 1.8210 1.8210
Ru 4.5539 2.7301 2.7301
Ru 2.7301 4.5539 2.7301
Ru 2.7301 2.7301 4.5539
Ru 4.5539 4.5539 4.5539
```

9.
The following is a GGA-PBE calculation of a relaxed structure of CrHgRu3, from the Alexandria database.

Uncorrected energy (eV/atom): -6.39
Space-group type: Pm-3m (221)
Formation energy (meV/atom): 1158

extended XYZ file:
```
5
Lattice="4.4516 0.0000 0.0000 0.0000 4.4516 0.0000 0.0000 0.0000 4.4516" Properties=species:S:1:pos:R:3 pbc="T T T"
Cr 0.0000 0.0000 0.0000
Hg 2.2258 2.2258 2.2258
Ru 0.0000 0.0000 2.2258
Ru 0.0000 2.2258 0.0000
Ru 2.2258 0.0000 0.0000
```

10.
The following is a GGA-PBE calculation of a relaxed structure of Cr3HgRu, from the Alexandria database.

Uncorrected energy (eV/atom): -6.53
Space-group type: Pm-3m (221)
Formation energy (meV/atom): 1157

extended XYZ file:
```
5
Lattice="4.6956 0.0000 0.0000 0.0000 4.6956 0.0000 0.0000 0.0000 4.6956" Properties=species:S:1:pos:R:3 pbc="T T T"
Cr 0.0000 0.0000 2.3478
Cr 0.0000 2.3478 0.0000
Cr 2.3478 0.0000 0.0000
Hg 2.3478 2.3478 2.3478
Ru 0.0000 0.0000 0.0000
```

11.
The following is a GGA-PBE calculation of a relaxed structure of ScCrHgRu2, from the Alexandria database.

Uncorrected energy (eV/atom): -5.33
Space-group type: P4/mmm (123)
Formation energy (meV/atom): 1630

extended XYZ file:
```
5
Lattice="4.9511 0.0000 0.0000 0.0000 4.9511 0.0000 0.0000 0.0000 4.7912" Properties=species:S:1:pos:R:3 pbc="T T T"
Sc 0.0000 0.0000 0.0000
Cr 2.4756 2.4756 0.0000
Hg 2.4756 2.4756 2.3956
Ru 0.0000 2.4756 2.3956
Ru 2.4756 0.0000 2.3956
```

12.
The following is a GGA-PBE calculation of a relaxed structure of Cr2HgRuSe, from the Alexandria database.

ΔE_f (raw) (eV per atom): 1.63
Uncorrected energy (eV/atom): -4.83
Space-group type: P4/mmm (123)

extended XYZ file:
```
5
Lattice="5.0697 0.0000 0.0000 0.0000 5.0697 0.0000 0.0000 0.0000 5.0218" Properties=species:S:1:pos:R:3 pbc="T T T"
Cr 0.0000 2.5348 0.0000
Cr 2.5348 0.0000 0.0000
Hg 0.0000 0.0000 0.0000
Ru 0.0000 0.0000 2.5109
Se 2.5348 2.5348 2.5109
```

> What is the uncorrected energy in the eleventh record?

-5.33 eV/atom

> uncorrected energy of number 6 (Cr2HgRu2)?

-7.19 eV/atom

> What is the formula in the tenth record?

Cr3HgRu